Record 1
Density functional theory data (PBE) for a relaxed SrSb4Pt4 crystal.

Output
- theoretical density (g/cm3) = 10.2
- DFT total energy (eV per atom) = -5.1972
- N(E_F) (states/eV per atom) = 0.499
- formation energy (no corrections) (eV per atom) = -0.49

abc: 9.0861 9.0861 5.3426
angles: 90.00 90.00 90.00
Closest atoms and distances in Å follow each position.
Space group P4_2/n (No. 86, origin choice 2)
Inequivalent atoms, fractional coordinates:
Sr  0.2500  0.2500  0.2500 (multiplicity 2)  4 Sb 3.47, 8 Pt 3.64-3.86
Sb  0.1050  0.8788  0.6535 (multiplicity 8)  4 Pt 2.63-2.74
Pt  0.0427  0.8839  0.1554 (multiplicity 8)  4 Sb 2.63-2.74, 1 Pt 2.79


Record 2
Density functional theory data (PBE) for a relaxed BCl2F crystal.

Output
- theoretical density (g/cm3) = 2.9
- DFT total energy (eV per atom) = -3.3556
- N(E_F) (states/eV per atom) = 0.000
- formation energy (no corrections) (eV per atom) = -0.30

abc: 5.7210 5.7210 7.0617
angles: 90.00 90.00 90.00
Closest atoms and distances in Å follow each position.
Space group I-42d (No. 122)
Inequivalent atoms, fractional coordinates:
B  0.0000  0.0000  0.0000 (multiplicity 4)  4 Cl 1.90
Cl  0.1564  0.7500  0.1250 (multiplicity 8)  2 B 1.90
F  0.0000  0.0000  0.5000 (multiplicity 4)  4 Cl 2.59


Record 3
Density functional theory data (PBE) for a relaxed LaCeY2 crystal.

Output
- theoretical density (g/cm3) = 5.8
- energy of formation from the pure elements (eV per formula unit) = 0.23
- DFT total energy (eV per atom) = -5.8901
- N(E_F) (states/eV per atom) = 2.021

abc: 3.5965 3.5965 35.0208
angles: 90.00 90.00 120.00
Closest atoms and distances in Å follow each position.
Space group R-3m (No. 166, hexagonal axes)
Inequivalent atoms, fractional coordinates:
La  0.0000  0.0000  0.0000 (multiplicity 3)  6 La 3.60, 6 Y 3.65
Ce  0.0000  0.0000  0.5000 (multiplicity 3)  6 Y 3.51, 6 Ce 3.60
Y  0.0000  0.0000  0.2475 (multiplicity 6)  3 Ce 3.51, 6 Y 3.60, 3 La 3.65


Record 4
Density functional theory data (PBE) for a relaxed PuThAs2 crystal.

Output
- theoretical density (g/cm3) = 9.7
- energy of formation from the pure elements (eV per formula unit) = -4.33
- DFT total energy (eV per atom) = -8.8449
- N(E_F) (states/eV per atom) = 2.672

abc: 4.1263 4.1263 21.7286
angles: 90.00 90.00 120.00
Closest atoms and distances in Å follow each position.
Space group R3m (No. 160, hexagonal axes)
Inequivalent atoms, fractional coordinates:
Pu  0.0000  0.0000  0.0000 (multiplicity 3)  6 As 2.91-2.99
Th  0.0000  0.0000  0.8282 (multiplicity 3)  6 As 3.01-3.06
As  0.0000  0.0000  0.4101 (multiplicity 3)  3 Pu 2.91, 3 Th 3.01
As  0.0000  0.0000  0.5833 (multiplicity 3)  3 Pu 2.99, 3 Th 3.06


Record 5
Density functional theory data (PBE) for a relaxed TlGa2Au6 crystal.

Output
- theoretical density (g/cm3) = 12.4
- energy of formation from the pure elements (eV per formula unit) = 0.25
- DFT total energy (eV per atom) = -3.0929
- N(E_F) (states/eV per atom) = 0.406

abc: 11.7657 11.7657 11.7657
angles: 90.00 90.00 90.00
Closest atoms and distances in Å follow each position.
Space group Fd-3m (No. 227, origin choice 2)
Inequivalent atoms, fractional coordinates:
Tl  0.1250  0.1250  0.1250 (multiplicity 8)  6 Au 2.90
Ga  0.0000  0.0000  0.5000 (multiplicity 16)  6 Au 2.57
Au  0.1215  0.3750  0.3750 (multiplicity 48)  2 Ga 2.57


Record 6
Density functional theory data (PBE) for a relaxed TaTeRu crystal.

Output
- theoretical density (g/cm3) = 12.7
- DFT total energy (eV per atom) = -7.9295
- N(E_F) (states/eV per atom) = 0.713
- formation energy (no corrections) (eV per atom) = 0.16

abc: 4.4838 4.4838 3.0753
angles: 90.00 90.00 120.00
Closest atoms and distances in Å follow each position.
Space group P3m1 (No. 156)
Inequivalent atoms, fractional coordinates:
Ta  0.0000  0.0000  0.0000 (multiplicity 1)  6 Ru 3.01, 6 Te 3.01, 2 Ta 3.08
Te  0.6667  0.3333  0.5003 (multiplicity 1)  3 Ru 2.59
Ru  0.3333  0.6667  0.4986 (multiplicity 1)  3 Te 2.59


Record 7
Density functional theory data (PBE) for a relaxed La2Tb3DySe6 crystal.

Output
- theoretical density (g/cm3) = 7.5
- DFT total energy (eV per atom) = -5.9461
- N(E_F) (states/eV per atom) = 0.535
- formation energy (no corrections) (eV per atom) = -1.84

abc: 18.1641 4.1372 8.3996
angles: 90.00 103.69 90.00
Closest atoms and distances in Å follow each position.
Space group C2/m (No. 12)
Inequivalent atoms, fractional coordinates:
La  0.1665  0.0000  0.3338 (multiplicity 4)  6 Se 3.02-3.03
Tb  0.0000  0.5000  0.5000 (multiplicity 2)  6 Se 2.87-2.96
Tb  0.1696  0.0000  0.8342 (multiplicity 4)  6 Se 2.88-2.93
Dy  0.0000  0.5000  0.0000 (multiplicity 2)  6 Se 2.91-2.94
Se  0.0051  0.0000  0.7541 (multiplicity 4)  3 Tb 2.90-2.96, 2 Dy 2.94, 1 La 3.03
Se  0.1627  0.5000  0.5929 (multiplicity 4)  3 Tb 2.87-2.88, 3 La 3.02
Se  0.1646  0.5000  0.0709 (multiplicity 4)  3 Tb 2.89-2.93, 1 Dy 2.91, 2 La 3.02


Record 8
Density functional theory data (PBE) for a relaxed SrBePt3 crystal.

Output
- theoretical density (g/cm3) = 11.7
- energy of formation from the pure elements (eV per formula unit) = -1.50
- DFT total energy (eV per atom) = -5.0052
- N(E_F) (states/eV per atom) = 0.487

abc: 5.4509 5.4509 22.6183
angles: 90.00 90.00 120.00
Closest atoms and distances in Å follow each position.
Space group R-3 (No. 148, hexagonal axes)
Inequivalent atoms, fractional coordinates:
Sr  0.0000  0.0000  0.1647 (multiplicity 6)  6 Pt 3.04-3.10, 3 Sr 3.15
Be  0.0000  0.0000  0.3692 (multiplicity 6)  6 Pt 2.39-2.53
Pt  0.0050  0.4355  0.3846 (multiplicity 18)  2 Be 2.39-2.53


Record 9
Density functional theory data (PBE) for a relaxed CrMoRu3 crystal.

Output
- theoretical density (g/cm3) = 7.5
- energy of formation from the pure elements (eV per formula unit) = 8.07
- DFT total energy (eV per atom) = -8.0424
- N(E_F) (states/eV per atom) = 1.294

abc: 4.6334 4.6334 4.6334
angles: 90.00 90.00 90.00
Closest atoms and distances in Å follow each position.
Space group Pm-3m (No. 221)
Inequivalent atoms, fractional coordinates:
Cr  0.0000  0.0000  0.0000 (multiplicity 1)  12 Ru 3.28
Mo  0.5000  0.5000  0.5000 (multiplicity 1)  6 Ru 2.32
Ru  0.0000  0.5000  0.5000 (multiplicity 3)  2 Mo 2.32


Record 10
Density functional theory data (PBE) for a relaxed RuPtAu crystal.

Output
- theoretical density (g/cm3) = 17.2
- energy of formation from the pure elements (eV per formula unit) = 0.54
- DFT total energy (eV per atom) = -6.0191
- N(E_F) (states/eV per atom) = 1.329

abc: 2.7962 2.7962 12.1929
angles: 90.00 90.00 90.00
Closest atoms and distances in Å follow each position.
Space group I4mm (No. 107)
Inequivalent atoms, fractional coordinates:
Ru  0.0000  0.0000  0.0000 (multiplicity 2)  4 Pt 2.68, 4 Ru 2.80, 4 Au 2.88
Pt  0.0000  0.0000  0.3515 (multiplicity 2)  4 Ru 2.68, 4 Pt 2.80, 4 Au 2.96
Au  0.0000  0.0000  0.6712 (multiplicity 2)  4 Au 2.80, 4 Ru 2.88, 4 Pt 2.96


Record 11
Density functional theory data (PBE) for a relaxed YSiPd2 crystal.

Output
- theoretical density (g/cm3) = 6.3
- DFT total energy (eV per atom) = -6.0399
- N(E_F) (states/eV per atom) = 0.860
- formation energy (no corrections) (eV per atom) = -0.47

abc: 4.6400 4.6400 16.0356
angles: 90.00 90.00 90.00
Closest atoms and distances in Å follow each position.
Space group I-42d (No. 122)
Inequivalent atoms, fractional coordinates:
Y  0.0000  0.0000  0.0000 (multiplicity 4)  4 Pd 2.84
Si  0.0000  0.0000  0.5000 (multiplicity 4)  4 Pd 2.41
Pd  0.1448  0.2500  0.6250 (multiplicity 8)  2 Si 2.41, 2 Pd 2.68


Record 12
Density functional theory data (PBE) for a relaxed KBaSr2Rh crystal.

Output
- theoretical density (g/cm3) = 3.3
- energy of formation from the pure elements (eV per formula unit) = -0.55
- DFT total energy (eV per atom) = -2.8580
- N(E_F) (states/eV per atom) = 0.877

abc: 6.1015 6.1015 6.1992
angles: 90.00 90.00 90.00
Closest atoms and distances in Å follow each position.
Space group P4/mmm (No. 123)
Inequivalent atoms, fractional coordinates:
K  0.0000  0.0000  0.0000 (multiplicity 1)  4 Ba 4.31, 8 Sr 4.35
Ba  0.5000  0.5000  0.0000 (multiplicity 1)  2 Rh 3.10
Sr  0.0000  0.5000  0.5000 (multiplicity 2)  2 Rh 3.05
Rh  0.5000  0.5000  0.5000 (multiplicity 1)  4 Sr 3.05, 2 Ba 3.10